No. 1
Below is a geometry-optimized Cs2GaRuI6 structure, with properties calculated at the GGA-PBE level.

Structure (CIF):
```
data_Cs2GaRuI6
_chemical_formula_sum 'Cs2 Ga1 Ru1 I6'
_cell_length_a 8.3285
_cell_length_b 8.3285
_cell_length_c 8.3256
_cell_angle_alpha 59.99
_cell_angle_beta 59.99
_cell_angle_gamma 90.00
_symmetry_space_group_name_H-M 'P 1'
_symmetry_Int_Tables_number 1
loop_
_symmetry_equiv_pos_as_xyz
'x,y,z'
loop_
_atom_site_label
_atom_site_fract_x
_atom_site_fract_y
_atom_site_fract_z
Cs1 0.7500 0.2500 0.5000
Cs2 0.2500 0.7500 0.5000
I1 0.2331 0.2331 0.5339
I2 0.7669 0.7669 0.4661
I3 0.2328 0.2328 0.0000
I4 0.7672 0.7672 0.0000
I5 0.7672 0.2328 0.0000
I6 0.2328 0.7672 0.0000
Ga1 0.5000 0.5000 0.0000
Ru1 0.0000 0.0000 0.0000
```

* formation energy without anion corrections: -0.6812 eV/atom



No. 2
Below is a geometry-optimized TiInS3 structure, with properties calculated at the GGA-PBE level.

Structure (CIF):
```
data_TiInS3
_chemical_formula_sum 'Ti1 In1 S3'
_cell_length_a 4.9175
_cell_length_b 4.9175
_cell_length_c 4.9175
_cell_angle_alpha 90.00
_cell_angle_beta 90.00
_cell_angle_gamma 90.00
_symmetry_space_group_name_H-M 'P 1'
_symmetry_Int_Tables_number 1
loop_
_symmetry_equiv_pos_as_xyz
'x,y,z'
loop_
_atom_site_label
_atom_site_fract_x
_atom_site_fract_y
_atom_site_fract_z
S1 0.0000 0.5000 0.0000
S2 0.0000 0.0000 0.5000
S3 0.5000 0.0000 0.0000
Ti1 0.5000 0.5000 0.5000
In1 0.0000 0.0000 0.0000
```

* formation energy without anion corrections: 0.4495 eV/atom
* distance to the lowest polymorph of the same formula: 1.257 eV per atom



No. 3
Below is a geometry-optimized Ce2Si4Pd3 structure, with properties calculated at the GGA-PBE level.

Structure (CIF):
```
data_Ce2Si4Pd3
_chemical_formula_sum 'Ce4 Si8 Pd6'
_cell_length_a 5.7153
_cell_length_b 7.4405
_cell_length_c 7.9623
_cell_angle_alpha 90.00
_cell_angle_beta 111.03
_cell_angle_gamma 90.00
_symmetry_space_group_name_H-M 'P 1'
_symmetry_Int_Tables_number 1
loop_
_symmetry_equiv_pos_as_xyz
'x,y,z'
loop_
_atom_site_label
_atom_site_fract_x
_atom_site_fract_y
_atom_site_fract_z
Ce1 0.1051 0.5924 0.2103
Ce2 0.8949 0.4076 0.7897
Ce3 0.3949 0.0924 0.7897
Ce4 0.6051 0.9076 0.2103
Si1 0.6895 0.7500 0.8791
Si2 0.8105 0.2500 0.1209
Si3 0.3105 0.2500 0.1209
Si4 0.1895 0.7500 0.8791
Si5 0.1788 0.9809 0.3576
Si6 0.8212 0.0191 0.6424
Si7 0.3212 0.4809 0.6424
Si8 0.6788 0.5191 0.3576
Pd1 0.0000 0.0000 0.0000
Pd2 0.5000 0.5000 0.0000
Pd3 0.5240 0.7500 0.5480
Pd4 0.9760 0.2500 0.4520
Pd5 0.4760 0.2500 0.4520
Pd6 0.0240 0.7500 0.5480
```

* formation energy without anion corrections: -0.7554 eV/atom



No. 4
Below is a geometry-optimized Al4RhCl structure, with properties calculated at the GGA-PBE level.

Structure (CIF):
```
data_Al4RhCl
_chemical_formula_sum 'Al4 Rh1 Cl1'
_cell_length_a 5.2627
_cell_length_b 5.2627
_cell_length_c 5.2627
_cell_angle_alpha 60.00
_cell_angle_beta 60.00
_cell_angle_gamma 60.00
_symmetry_space_group_name_H-M 'P 1'
_symmetry_Int_Tables_number 1
loop_
_symmetry_equiv_pos_as_xyz
'x,y,z'
loop_
_atom_site_label
_atom_site_fract_x
_atom_site_fract_y
_atom_site_fract_z
Al1 0.8788 0.3738 0.3738
Al2 0.3738 0.3738 0.8788
Al3 0.3738 0.8788 0.3738
Al4 0.3738 0.3738 0.3738
Rh1 0.0000 0.0000 0.0000
Cl1 0.7500 0.7500 0.7500
```

* formation energy without anion corrections: 0.1523 eV/atom



No. 5
Below is a geometry-optimized NaLi2In2Sn2 structure, with properties calculated at the GGA-PBE level.

Structure (CIF):
```
data_NaLi2In2Sn2
_chemical_formula_sum 'Na1 Li2 In2 Sn2'
_cell_length_a 4.7688
_cell_length_b 4.7688
_cell_length_c 9.3025
_cell_angle_alpha 75.15
_cell_angle_beta 75.15
_cell_angle_gamma 60.00
_symmetry_space_group_name_H-M 'P 1'
_symmetry_Int_Tables_number 1
loop_
_symmetry_equiv_pos_as_xyz
'x,y,z'
loop_
_atom_site_label
_atom_site_fract_x
_atom_site_fract_y
_atom_site_fract_z
Na1 0.0000 0.0000 0.0000
Li1 0.1458 0.1458 0.5627
Li2 0.8542 0.8542 0.4373
In1 0.5571 0.5571 0.3288
In2 0.4429 0.4429 0.6712
Sn1 0.7379 0.7379 0.7864
Sn2 0.2621 0.2621 0.2136
```

* energy of formation from the pure elements: -219 meV per atom



No. 6
Below is a geometry-optimized NaNi2Ag structure, with properties calculated at the GGA-PBE level.

Structure (CIF):
```
data_NaNi2Ag
_chemical_formula_sum 'Na2 Ni4 Ag2'
_cell_length_a 3.8258
_cell_length_b 3.8258
_cell_length_c 9.8293
_cell_angle_alpha 78.78
_cell_angle_beta 78.78
_cell_angle_gamma 90.00
_symmetry_space_group_name_H-M 'P 1'
_symmetry_Int_Tables_number 1
loop_
_symmetry_equiv_pos_as_xyz
'x,y,z'
loop_
_atom_site_label
_atom_site_fract_x
_atom_site_fract_y
_atom_site_fract_z
Ni1 0.7011 0.1250 0.2500
Ni2 0.0489 0.6250 0.2500
Ni3 0.3750 0.2989 0.7500
Ni4 0.8750 0.9511 0.7500
Ag1 0.0000 0.0000 0.0000
Ag2 0.7500 0.2500 0.5000
Na1 0.5000 0.5000 0.0000
Na2 0.2500 0.7500 0.5000
```

* energy of formation from the pure elements: 628 meV per atom
* distance to the lowest polymorph of the same formula: 0.113 eV per atom



Number 6 is which compound? NaNi2Ag